Computed, not measured: crystalline Na2MnGeF6 at its relaxed geometry at the PBE+U level of DFT.

Calculated values
* E: -5.108 eV/atom
* total magnetic moment: 0.500 μB per atom
* volume: 14.37 Å³ per atom
* symmetry: R3 (146)

The structure in POSCAR format:
```
Na2MnGeF6
1.0
2.8770 1.6610 5.0105
-2.8770 1.6610 5.0105
0.0000 -3.3220 5.0105
Na Mn Ge F
2 1 1 6
Cartesian
0.0000 0.0000 0.0000
0.0000 0.0000 7.4876
0.0000 0.0000 10.6837
0.0000 0.0000 3.1983
-2.1773 0.0617 6.7149
-0.7217 -1.5013 9.2696
1.0352 -1.9164 6.7149
-0.9393 1.3757 9.2696
1.1421 1.8547 6.7149
1.6610 0.1256 9.2696
```